(1)
A geometry-optimized PuZrTi structure, computed with PBE-GGA.

Cell: 3.0837 4.8830 4.8830 Å, 120.00 90.00 90.00°
With the nearest neighbours (Å) after each atom.
Sites, in units of the cell vectors:
1 Zr 0.3334 0.6667 0.3333  2 Zr 3.08, 6 Ti 3.21, 6 Pu 3.21
2 Ti 0.8331 0.0000 0.0000  3 Pu 2.82, 2 Ti 3.08
3 Pu 0.8335 0.3333 0.6667  3 Ti 2.82, 2 Pu 3.08

V: 21.23 Å³/atom
Space-group type: No. 187
Energy above the most stable polymorph in this dataset: 0.0000 eV/atom
E_form: 8.9 kJ/mol of atoms



(2)
A geometry-optimized PuZr2Ti structure, computed with PBE-GGA.

Cell: 3.1748 3.1748 10.4036 Å, 81.24 81.24 60.02°
With the nearest neighbours (Å) after each atom.
Sites, in units of the cell vectors:
1 Pu 0.4995 0.4995 0.5014  6 Pu 3.17-3.18, 6 Zr 3.27-3.30
2 Zr 0.0781 0.0781 0.7656  3 Ti 3.01, 6 Zr 3.17-3.18, 3 Pu 3.27
3 Zr 0.2554 0.2554 0.2339  3 Ti 3.02, 6 Zr 3.17-3.18, 3 Pu 3.30
4 Ti 0.6670 0.6670 0.9991  6 Zr 3.01-3.02, 6 Ti 3.17-3.18

V: 22.35 Å³/atom
Space-group type: No. 160
Energy above the most stable polymorph in this dataset: 0.0112 eV/atom
E_form: 15.4 kJ/mol of atoms



(3)
A geometry-optimized PuZr6Ti structure, computed with PBE-GGA.

Cell: 5.4637 7.7715 7.1150 Å, 42.79 75.04 62.28°
With the nearest neighbours (Å) after each atom.
Sites, in units of the cell vectors:
1 Zr 0.7575 0.2425 0.2423  1 Ti 3.09, 10 Zr 3.13-3.23, 1 Pu 3.28
2 Zr 0.8771 0.6232 0.6220  8 Zr 3.13-3.25, 2 Ti 3.14-3.15, 2 Pu 3.15
3 Zr 0.1229 0.3768 0.3780  8 Zr 3.13-3.25, 2 Ti 3.14-3.15, 2 Pu 3.15
4 Zr 0.2425 0.7575 0.7577  1 Ti 3.09, 10 Zr 3.13-3.23, 1 Pu 3.28
5 Zr 0.6233 0.8770 0.8777  8 Zr 3.13-3.25, 2 Ti 3.14-3.15, 2 Pu 3.15
6 Zr 0.3767 0.1230 0.1223  8 Zr 3.13-3.25, 2 Ti 3.14-3.15, 2 Pu 3.15
7 Ti 0.0000 0.0000 0.0000  10 Zr 3.09-3.15, 2 Pu 3.17
8 Pu 0.5000 0.5000 0.5000  10 Zr 3.15-3.28, 2 Ti 3.17

V: 22.49 Å³/atom
Space-group type: No. 69
E_form: 5.7 kJ/mol of atoms



(4)
A geometry-optimized PuZrTi structure, computed with PBE-GGA.

Cell: 5.3722 5.3722 6.0826 Å, 72.04 72.04 50.64°
With the nearest neighbours (Å) after each atom.
Sites, in units of the cell vectors:
1 Pu 0.0134 0.5134 0.2355  5 Ti 2.95-3.19, 2 Pu 2.96-3.14, 5 Zr 3.11-3.26
2 Pu 0.9866 0.4866 0.7645  5 Ti 2.95-3.19, 2 Pu 2.96-3.14, 5 Zr 3.11-3.26
3 Zr 0.6731 0.1731 0.4070  4 Ti 3.01-3.09, 5 Pu 3.11-3.26, 3 Zr 3.15-3.16
4 Zr 0.3269 0.8269 0.5930  4 Ti 3.01-3.09, 5 Pu 3.11-3.26, 3 Zr 3.15-3.16
5 Ti 0.3361 0.8361 0.0831  5 Pu 2.95-3.19, 3 Ti 2.99-3.20, 4 Zr 3.01-3.09
6 Ti 0.6639 0.1639 0.9169  5 Pu 2.95-3.19, 3 Ti 2.99-3.20, 4 Zr 3.01-3.09

V: 21.27 Å³/atom
Space-group type: No. 12
Energy above the most stable polymorph in this dataset: 0.0104 eV/atom
E_form: 9.9 kJ/mol of atoms



| no. | Fermi-level density of states (states/eV per cell) |
| --- | --- |
| 1 | 7.49 |
| 2 | 10.13 |
| 3 | 11.67 |
| 4 | 12.70 |